Entry 1:
VASP calculation (PBE) on a relaxed structure of CsAsPtO.

## Properties
The excess energy over the best structure of this formula in the dataset comes out at 0.1066 eV/atom. Its symmetry is P4/nmm, No. 129.

Structure (POSCAR):
```
CsAsPtO
1.0
4.2436 0.0000 0.0000
0.0000 4.2436 0.0000
0.0000 0.0000 11.7922
As Cs O Pt
2 2 2 2
Direct
0.7500 0.7500 0.3878 As
0.2500 0.2500 0.6122 As
0.2500 0.2500 0.1558 Cs
0.7500 0.7500 0.8442 Cs
0.7500 0.2500 0.0000 O
0.2500 0.7500 0.0000 O
0.7500 0.2500 0.5000 Pt
0.2500 0.7500 0.5000 Pt
```

Entry 2:
VASP calculation (PBE) on a relaxed structure of CsAsPtO.

## Properties
The excess energy over the best structure of this formula in the dataset comes out at 0.0154 eV/atom. Its symmetry is Pmc2_1, No. 26.

Structure (POSCAR):
```
CsAsPtO
1.0
3.6387 0.0000 0.0000
0.0000 8.3048 0.0000
0.0000 0.0000 6.7373
As Cs O Pt
2 2 2 2
Direct
0.0000 0.1621 0.0017 As
0.0000 0.8379 0.5017 As
0.0000 0.7163 0.0012 Cs
0.0000 0.2837 0.5012 Cs
0.5000 0.5007 0.2503 O
0.5000 0.4993 0.7503 O
0.5000 0.3475 0.0008 Pt
0.5000 0.6525 0.5008 Pt
```

Entry 3:
VASP calculation (PBE) on a relaxed structure of CsReAsO.

## Properties
The excess energy over the best structure of this formula in the dataset comes out at 0.0428 eV/atom. Its symmetry is Pmc2_1, No. 26.

Structure (POSCAR):
```
CsReAsO
1.0
-3.0198 0.9605 2.1189
-3.9029 -3.2680 -4.0809
0.9799 -6.7157 4.4407
As Cs O Re
2 2 2 2
Direct
0.0000 0.3912 0.2548 As
0.0000 0.6088 0.7548 As
0.5000 0.8550 0.0884 Cs
0.5000 0.1450 0.5884 Cs
0.5000 0.6838 0.4536 O
0.5000 0.3162 0.9536 O
0.0000 0.6550 0.4572 Re
0.0000 0.3450 0.9572 Re
```

Entry 4:
VASP calculation (PBE) on a relaxed structure of CsReAsO.

## Properties
The excess energy over the best structure of this formula in the dataset comes out at 0.0000 eV/atom. Its symmetry is Pmc2_1, No. 26.

Structure (POSCAR):
```
CsReAsO
1.0
3.7590 0.0000 0.0000
0.0000 8.3807 0.0000
0.0000 0.0000 6.9335
As Cs O Re
2 2 2 2
Direct
0.0000 0.2523 0.4677 As
0.0000 0.7477 0.9677 As
0.0000 0.6918 0.4641 Cs
0.0000 0.3082 0.9641 Cs
0.5000 0.9463 0.2982 O
0.5000 0.0537 0.7982 O
0.5000 0.9227 0.0240 Re
0.5000 0.0773 0.5240 Re
```

Entry 5:
VASP calculation (PBE) on a relaxed structure of CsReAsO.

## Properties
The excess energy over the best structure of this formula in the dataset comes out at 0.4771 eV/atom. Its symmetry is P4/nmm, No. 129.

Structure (POSCAR):
```
CsReAsO
1.0
-2.9256 -1.4814 -1.8223
0.7277 -3.3396 1.5466
-7.9486 3.0350 10.2939
As Cs O Re
2 2 2 2
Direct
0.7500 0.7500 0.3680 As
0.2500 0.2500 0.6320 As
0.2500 0.2500 0.1561 Cs
0.7500 0.7500 0.8439 Cs
0.7500 0.2500 0.0000 O
0.2500 0.7500 0.0000 O
0.7500 0.2500 0.5000 Re
0.2500 0.7500 0.5000 Re
```

Entry 6:
VASP calculation (PBE) on a relaxed structure of CsTcAsO.

## Properties
The excess energy over the best structure of this formula in the dataset comes out at 0.0000 eV/atom. Its symmetry is P4/nmm, No. 129.

Structure (POSCAR):
```
CsTcAsO
1.0
-0.9141 -3.1448 1.8624
3.0997 0.3501 2.1127
-6.8311 7.2129 8.8269
As Cs O Tc
2 2 2 2
Direct
0.0000 0.5000 0.3716 As
0.5000 0.0000 0.6284 As
0.5000 0.0000 0.1582 Cs
0.0000 0.5000 0.8418 Cs
0.0000 0.0000 0.0000 O
0.5000 0.5000 0.0000 O
0.0000 0.0000 0.5000 Tc
0.5000 0.5000 0.5000 Tc
```

Entry 7:
VASP calculation (PBE) on a relaxed structure of CsZrAsO.

## Properties
The excess energy over the best structure of this formula in the dataset comes out at 1.0988 eV/atom. Its symmetry is P4/nmm, No. 129.

Structure (POSCAR):
```
CsZrAsO
1.0
4.7484 0.0000 0.0000
0.0000 4.7484 0.0000
0.0000 0.0000 10.7290
As Cs O Zr
2 2 2 2
Direct
0.7500 0.7500 0.3879 As
0.2500 0.2500 0.6121 As
0.2500 0.2500 0.1368 Cs
0.7500 0.7500 0.8632 Cs
0.7500 0.2500 0.0000 O
0.2500 0.7500 0.0000 O
0.7500 0.2500 0.5000 Zr
0.2500 0.7500 0.5000 Zr
```

Entry 8:
VASP calculation (PBE) on a relaxed structure of CsZrAsO.

## Properties
The excess energy over the best structure of this formula in the dataset comes out at 0.1442 eV/atom. Its symmetry is Pmc2_1, No. 26.

Structure (POSCAR):
```
CsZrAsO
1.0
3.6202 0.0000 0.0000
0.0000 7.9417 0.0000
0.0000 0.0000 8.0613
As Cs O Zr
2 2 2 2
Direct
0.0000 0.4678 0.2632 As
0.0000 0.5322 0.7632 As
0.5000 0.8011 0.0420 Cs
0.5000 0.1989 0.5420 Cs
0.5000 0.8170 0.4608 O
0.5000 0.1830 0.9608 O
0.0000 0.6957 0.4879 Zr
0.0000 0.3043 0.9879 Zr
```